# Pm3RuCl2

Pm3RuCl2 after structural relaxation (PBE, the Alexandria database).

```
data_Pm3RuCl2
_cell_length_a 7.910
_cell_length_b 7.910
_cell_length_c 7.910
_cell_angle_alpha 151.29
_cell_angle_beta 137.23
_cell_angle_gamma 52.32
_symmetry_space_group_name_H-M 'P 1'
_symmetry_Int_Tables_number 1
loop_
_symmetry_equiv_pos_as_xyz
'x,y,z'
loop_
_atom_site_label
_atom_site_fract_x
_atom_site_fract_y
_atom_site_fract_z
Pm1 0.000 0.000 0.000
Pm2 0.366 0.366 0.000
Pm3 0.634 0.634 0.000
Ru1 0.500 0.000 0.500
Cl1 0.182 0.682 0.500
Cl2 0.818 0.318 0.500
```

Summary:
DOS(E_F) in states/eV/f.u.: 3.7
DFT total energy in eV per formula unit: -33.614
Raw formation energy in eV/atom: -1.066
Space group: Immm

# TmZn8Ni2

TmZn8Ni2 after structural relaxation (PBE, the Alexandria database).

```
data_TmZn8Ni2
_cell_length_a 6.214
_cell_length_b 6.214
_cell_length_c 5.141
_cell_angle_alpha 90.00
_cell_angle_beta 90.00
_cell_angle_gamma 90.00
_symmetry_space_group_name_H-M 'P 1'
_symmetry_Int_Tables_number 1
loop_
_symmetry_equiv_pos_as_xyz
'x,y,z'
loop_
_atom_site_label
_atom_site_fract_x
_atom_site_fract_y
_atom_site_fract_z
Tm1 0.000 0.000 0.000
Zn1 0.288 0.288 0.256
Zn2 0.288 0.288 0.744
Zn3 0.288 0.712 0.256
Zn4 0.288 0.712 0.744
Zn5 0.712 0.288 0.256
Zn6 0.712 0.288 0.744
Zn7 0.712 0.712 0.256
Zn8 0.712 0.712 0.744
Ni1 0.000 0.500 0.500
Ni2 0.500 0.000 0.500
```

Summary:
DOS(E_F) in states/eV/f.u.: 4.9
DFT total energy in eV per formula unit: -25.000
Space group: P4/mmm

# RuCSN2

RuCSN2 after structural relaxation (PBE, the Alexandria database).

```
data_RuCSN2
_cell_length_a 3.693
_cell_length_b 3.693
_cell_length_c 5.224
_cell_angle_alpha 90.00
_cell_angle_beta 90.00
_cell_angle_gamma 90.00
_symmetry_space_group_name_H-M 'P 1'
_symmetry_Int_Tables_number 1
loop_
_symmetry_equiv_pos_as_xyz
'x,y,z'
loop_
_atom_site_label
_atom_site_fract_x
_atom_site_fract_y
_atom_site_fract_z
Ru1 0.000 0.000 0.000
C1 0.500 0.500 0.500
S1 0.000 0.000 0.500
N1 0.000 0.500 0.000
N2 0.500 0.000 0.000
```

Summary:
DOS(E_F) in states/eV/f.u.: 3.6
Energy above the most stable polymorph in this dataset in eV per atom: 0.000
DFT total energy in eV per formula unit: -29.320
Raw formation energy in eV/atom: 1.992
Space group: P4/mmm

# LuSiN2

LuSiN2 after structural relaxation (PBE, the Alexandria database).

```
data_LuSiN2
_cell_length_a 6.427
_cell_length_b 6.427
_cell_length_c 6.427
_cell_angle_alpha 27.14
_cell_angle_beta 27.14
_cell_angle_gamma 27.14
_symmetry_space_group_name_H-M 'P 1'
_symmetry_Int_Tables_number 1
loop_
_symmetry_equiv_pos_as_xyz
'x,y,z'
loop_
_atom_site_label
_atom_site_fract_x
_atom_site_fract_y
_atom_site_fract_z
Lu1 0.000 0.000 0.000
Si1 0.500 0.500 0.500
N1 0.117 0.117 0.117
N2 0.883 0.883 0.883
```

Summary:
DOS(E_F) in states/eV/f.u.: 2.9
DFT total energy in eV per formula unit: -27.536
Raw formation energy in eV/atom: -0.235
Space group: R-3m

# RuPb2Se2

RuPb2Se2 after structural relaxation (PBE, the Alexandria database).

```
data_RuPb2Se2
_cell_length_a 7.714
_cell_length_b 7.714
_cell_length_c 4.306
_cell_angle_alpha 90.00
_cell_angle_beta 90.00
_cell_angle_gamma 90.00
_symmetry_space_group_name_H-M 'P 1'
_symmetry_Int_Tables_number 1
loop_
_symmetry_equiv_pos_as_xyz
'x,y,z'
loop_
_atom_site_label
_atom_site_fract_x
_atom_site_fract_y
_atom_site_fract_z
Ru1 0.000 0.000 0.000
Ru2 0.500 0.500 0.000
Pb1 0.152 0.348 0.000
Pb2 0.348 0.848 0.000
Pb3 0.652 0.152 0.000
Pb4 0.848 0.652 0.000
Se1 0.176 0.676 0.500
Se2 0.324 0.176 0.500
Se3 0.676 0.824 0.500
Se4 0.824 0.324 0.500
```

Summary:
DOS(E_F) in states/eV/f.u.: 3.5
Energy above the most stable polymorph in this dataset in eV per atom: 0.091
DFT total energy in eV per formula unit: -21.379
Raw formation energy in eV/atom: 0.457
Space group: P4/mbm

# AgRhBr

AgRhBr after structural relaxation (PBE, the Alexandria database).

```
data_AgRhBr
_cell_length_a 3.446
_cell_length_b 3.446
_cell_length_c 6.008
_cell_angle_alpha 90.00
_cell_angle_beta 90.00
_cell_angle_gamma 120.00
_symmetry_space_group_name_H-M 'P 1'
_symmetry_Int_Tables_number 1
loop_
_symmetry_equiv_pos_as_xyz
'x,y,z'
loop_
_atom_site_label
_atom_site_fract_x
_atom_site_fract_y
_atom_site_fract_z
Ag1 0.000 0.000 0.000
Rh1 0.333 0.667 0.682
Br1 0.667 0.333 0.424
```

Summary:
DOS(E_F) in states/eV/f.u.: 1.9
Energy above the most stable polymorph in this dataset in eV per atom: 0.000
DFT total energy in eV per formula unit: -10.820
Raw formation energy in eV/atom: 0.352
Space group: P3m1